1.
AcInPtI after structural relaxation, computed with PBE-GGA.

Cell lengths 4.656, 4.656, 15.176 Å; angles 81.18, 81.18, 60.00 degrees
Element x y z (fractional)
I 0.209 0.209 0.374
I 0.791 0.791 0.626
Ac 0.076 0.076 0.773
Ac 0.924 0.924 0.227
In 0.689 0.689 0.934
In 0.311 0.311 0.066
Pt 0.373 0.373 0.882
Pt 0.627 0.627 0.118

## Properties
Formation energy without anion corrections = -1.06 eV/atom


2.
PrNd2Te3 after structural relaxation, computed with PBE-GGA.

Cell lengths 4.534, 6.362, 7.794 Å; angles 114.09, 106.91, 90.00 degrees
Element x y z (fractional)
Nd 0.835 0.835 0.170
Nd 0.165 0.165 0.830
Pr 0.500 0.500 0.500
Te 0.831 0.331 0.163
Te 0.500 0.000 0.500
Te 0.169 0.669 0.837

## Properties
Formation energy without anion corrections = -1.43 eV/atom


3.
Er4Sc2Pb after structural relaxation, computed with PBE-GGA.

Cell lengths 5.344, 6.681, 11.435 Å; angles 90.00, 103.53, 90.00 degrees
Element x y z (fractional)
Er 0.931 0.750 0.860
Er 0.644 0.009 0.290
Er 0.069 0.250 0.140
Er 0.644 0.491 0.290
Er 0.212 0.750 0.425
Er 0.788 0.250 0.575
Er 0.356 0.509 0.710
Er 0.356 0.991 0.710
Sc 0.217 0.250 0.433
Sc 0.512 0.750 0.021
Sc 0.488 0.250 0.979
Sc 0.783 0.750 0.567
Pb 0.925 0.250 0.851
Pb 0.075 0.750 0.149

## Properties
Formation energy = -0.058 eV/atom